(1)
This record from the Alexandria database describes YTaPb after structural relaxation. The functional is PBE-GGA.

## Properties
Excess energy over the best structure of this formula in the dataset, eV per atom: 0.079
Crystal system: trigonal

Cell: 3.3424 3.3424 7.6969 Å, 90.00 90.00 120.00°
Space group P3m1 (No. 156)
One atom of each set of equivalent atoms:
1 Y 0.0000 0.0000 0.0000
2 Ta 0.3333 0.6667 0.6831
3 Pb 0.6667 0.3333 0.3658



(2)
This record from the Alexandria database describes Ti8AlRh2 after structural relaxation. The functional is PBE-GGA.

## Properties
Crystal system: monoclinic

Cell: 7.205 12.652 4.401 Å, 90.00 111.21 90.00°
Space group C2/m (No. 12)
One atom of each set of equivalent atoms:
1 Ti 0.000 0.218 0.000
2 Ti 0.104 0.500 0.799
3 Ti 0.205 0.107 0.609
4 Al 0.000 0.000 0.000
5 Rh 0.000 0.305 0.500



| no. | formation energy from the elements (meV/atom) | magnetization (μB/cell) |
| --- | --- | --- |
| 1 | 294 | 0.0 |
| 2 | -207 | 0.0 |